1.
First-principles (PBE+U) data for a geometry-optimized Na14Fe2O9 structure, as listed in Alexandria.

The structure in POSCAR format:
```
Na14Fe2O9
1.0
-2.562 0.388 6.158
-6.648 0.063 0.844
-0.047 -9.392 0.649
Na O Fe
14 9 2
Direct
0.936 0.685 0.593 Na
0.379 0.928 0.590 Na
0.359 0.683 0.909 Na
0.318 0.046 0.091 Na
0.314 0.621 0.408 Na
0.002 0.999 0.252 Na
0.627 0.061 0.407 Na
0.000 0.998 0.748 Na
0.071 0.307 0.409 Na
0.034 0.644 0.092 Na
0.638 0.326 0.093 Na
0.689 0.373 0.593 Na
0.675 0.967 0.908 Na
0.958 0.365 0.907 Na
0.700 0.358 0.339 O
0.996 0.005 0.000 O
0.331 0.342 0.959 O
0.360 0.945 0.334 O
0.661 0.674 0.041 O
0.059 0.298 0.662 O
0.638 0.051 0.662 O
0.306 0.639 0.665 O
0.949 0.690 0.338 O
0.332 0.331 0.739 Fe
0.668 0.664 0.261 Fe
```

- Density of states at the Fermi level: 0.17 states/eV/cell
- Space group: P1 (1)


2.
First-principles (PBE+U) data for a geometry-optimized Na2FeO3 structure, as listed in Alexandria.

The structure in POSCAR format:
```
Na2FeO3
1.0
-2.119 4.825 3.097
1.813 -5.314 2.415
10.349 3.951 0.924
Na O Fe
8 12 4
Direct
0.035 0.965 0.645 Na
0.124 0.876 0.080 Na
0.535 0.465 0.855 Na
0.465 0.535 0.145 Na
0.876 0.124 0.920 Na
0.965 0.035 0.355 Na
0.376 0.624 0.580 Na
0.624 0.376 0.420 Na
0.581 0.419 0.642 O
0.942 0.558 0.250 O
0.844 0.156 0.531 O
0.558 0.942 0.750 O
0.156 0.844 0.469 O
0.419 0.581 0.358 O
0.919 0.081 0.142 O
0.656 0.344 0.031 O
0.081 0.919 0.858 O
0.442 0.058 0.250 O
0.344 0.656 0.969 O
0.058 0.442 0.750 O
0.245 0.755 0.843 Fe
0.755 0.245 0.157 Fe
0.255 0.745 0.343 Fe
0.745 0.255 0.657 Fe
```

- Offset from the most stable computed form: 7.8 kJ per mole of atoms
- Density of states at the Fermi level: 2.34 states/eV/cell
- Space group: Cmce (64)


3.
First-principles (PBE+U) data for a geometry-optimized Na5FeO4 structure, as listed in Alexandria.

The structure in POSCAR format:
```
Na5FeO4
1.0
6.026 0.000 0.000
0.000 10.529 0.000
0.000 0.000 18.184
O Na Fe
32 40 8
Direct
0.302 0.133 0.045 O
0.802 0.867 0.455 O
0.643 0.549 0.879 O
0.738 0.635 0.625 O
0.198 0.633 0.955 O
0.643 0.049 0.621 O
0.762 0.635 0.125 O
0.198 0.133 0.545 O
0.802 0.367 0.045 O
0.264 0.626 0.288 O
0.857 0.049 0.121 O
0.143 0.951 0.879 O
0.857 0.549 0.379 O
0.357 0.951 0.379 O
0.764 0.374 0.212 O
0.238 0.365 0.875 O
0.698 0.867 0.955 O
0.357 0.451 0.121 O
0.238 0.865 0.625 O
0.762 0.135 0.375 O
0.736 0.374 0.712 O
0.236 0.126 0.712 O
0.264 0.126 0.212 O
0.698 0.367 0.545 O
0.143 0.451 0.621 O
0.262 0.865 0.125 O
0.262 0.365 0.375 O
0.764 0.874 0.288 O
0.736 0.874 0.788 O
0.738 0.135 0.875 O
0.302 0.633 0.455 O
0.236 0.626 0.788 O
0.102 0.922 0.748 Na
0.582 0.440 0.435 Na
0.605 0.826 0.671 Na
0.074 0.301 0.141 Na
0.082 0.560 0.065 Na
0.926 0.199 0.641 Na
0.426 0.301 0.641 Na
0.602 0.078 0.752 Na
0.102 0.422 0.752 Na
0.408 0.336 0.002 Na
0.926 0.699 0.859 Na
0.582 0.940 0.065 Na
0.602 0.578 0.748 Na
0.574 0.199 0.141 Na
0.418 0.560 0.565 Na
0.074 0.801 0.359 Na
0.592 0.164 0.502 Na
0.408 0.836 0.498 Na
0.105 0.174 0.829 Na
0.395 0.174 0.329 Na
0.398 0.922 0.248 Na
0.426 0.801 0.859 Na
0.418 0.060 0.935 Na
0.908 0.664 0.498 Na
0.605 0.326 0.829 Na
0.092 0.836 0.998 Na
0.082 0.060 0.435 Na
0.574 0.699 0.359 Na
0.398 0.422 0.252 Na
0.898 0.578 0.248 Na
0.898 0.078 0.252 Na
0.592 0.664 0.998 Na
0.918 0.940 0.565 Na
0.908 0.164 0.002 Na
0.895 0.326 0.329 Na
0.918 0.440 0.935 Na
0.105 0.674 0.671 Na
0.895 0.826 0.171 Na
0.395 0.674 0.171 Na
0.092 0.336 0.502 Na
0.172 0.040 0.123 Fe
0.172 0.540 0.377 Fe
0.328 0.540 0.877 Fe
0.328 0.040 0.623 Fe
0.672 0.460 0.123 Fe
0.672 0.960 0.377 Fe
0.828 0.960 0.877 Fe
0.828 0.460 0.623 Fe
```

- Offset from the most stable computed form: 0.5 kJ per mole of atoms
- Density of states at the Fermi level: 0.00 states/eV/cell
- Space group: Pbca (61)


4.
First-principles (PBE+U) data for a geometry-optimized Na5Fe11O16 structure, as listed in Alexandria.

The structure in POSCAR format:
```
Na5Fe11O16
1.0
6.194 0.001 0.025
3.104 5.360 0.025
3.015 1.738 10.423
Fe O Na
11 16 5
Direct
0.562 0.562 0.811 Fe
0.563 0.063 0.315 Fe
0.315 0.315 0.058 Fe
0.060 0.060 0.816 Fe
0.812 0.812 0.568 Fe
0.316 0.316 0.566 Fe
0.065 0.065 0.314 Fe
0.062 0.564 0.814 Fe
0.564 0.062 0.814 Fe
0.063 0.563 0.315 Fe
0.564 0.564 0.314 Fe
0.667 0.187 0.929 O
0.418 0.958 0.207 O
0.426 0.426 0.210 O
0.198 0.198 0.422 O
0.696 0.696 0.912 O
0.928 0.928 0.707 O
0.691 0.175 0.431 O
0.701 0.701 0.418 O
0.427 0.427 0.703 O
0.198 0.198 0.918 O
0.187 0.667 0.929 O
0.958 0.451 0.688 O
0.958 0.418 0.207 O
0.175 0.691 0.431 O
0.451 0.958 0.688 O
0.933 0.933 0.215 O
0.811 0.313 0.060 Na
0.314 0.814 0.567 Na
0.313 0.811 0.060 Na
0.814 0.314 0.567 Na
0.809 0.809 0.065 Na
```

- Space group: Cm (8)


5.
First-principles (PBE+U) data for a geometry-optimized NaFe3O4 structure, as listed in Alexandria.

The structure in POSCAR format:
```
NaFe3O4
1.0
-8.759 -5.862 -0.444
-7.310 -7.357 1.932
-9.057 -4.790 2.513
Fe O Na
3 4 1
Direct
0.872 0.872 0.872 Fe
0.625 0.625 0.625 Fe
0.378 0.378 0.378 Fe
0.992 0.992 0.992 O
0.739 0.739 0.739 O
0.258 0.258 0.258 O
0.511 0.511 0.511 O
0.125 0.125 0.125 Na
```

- Density of states at the Fermi level: 0.89 states/eV/cell
- Space group: R-3m (166)


6.
First-principles (PBE+U) data for a geometry-optimized Na8FeO6 structure, as listed in Alexandria.

The structure in POSCAR format:
```
Na8FeO6
1.0
3.177 5.492 -0.067
-3.177 5.492 -0.067
0.000 0.168 12.887
Na Fe O
16 2 12
Direct
0.999 0.613 0.379 Na
0.292 0.999 0.729 Na
0.290 0.710 0.228 Na
0.333 0.333 0.587 Na
0.001 0.387 0.878 Na
0.708 0.001 0.229 Na
0.667 0.666 0.087 Na
0.666 0.667 0.587 Na
0.387 0.001 0.378 Na
0.333 0.333 0.087 Na
0.611 0.388 0.379 Na
0.710 0.290 0.728 Na
0.999 0.292 0.229 Na
0.613 0.999 0.879 Na
0.001 0.708 0.729 Na
0.388 0.611 0.879 Na
0.001 0.999 0.003 Fe
0.999 0.001 0.503 Fe
0.719 0.281 0.549 O
0.280 0.000 0.549 O
0.000 0.720 0.549 O
0.332 0.334 0.279 O
0.281 0.719 0.049 O
0.667 0.666 0.779 O
0.720 0.000 0.049 O
0.999 0.001 0.352 O
0.666 0.667 0.279 O
0.000 0.280 0.049 O
0.334 0.332 0.779 O
0.001 0.999 0.852 O
```

- Density of states at the Fermi level: 24.69 states/eV/cell
- Space group: Cc (9)


7.
First-principles (PBE+U) data for a geometry-optimized NaFe5O8 structure, as listed in Alexandria.

The structure in POSCAR format:
```
NaFe5O8
1.0
8.533 0.000 0.000
0.000 8.533 0.000
0.000 0.000 8.533
Fe O Na
20 32 4
Direct
0.751 0.249 0.749 Fe
0.374 0.876 0.125 Fe
0.499 0.501 0.001 Fe
0.249 0.749 0.751 Fe
0.251 0.251 0.251 Fe
0.999 0.999 0.999 Fe
0.001 0.499 0.501 Fe
0.501 0.001 0.499 Fe
0.874 0.624 0.875 Fe
0.876 0.125 0.374 Fe
0.126 0.124 0.625 Fe
0.125 0.374 0.876 Fe
0.625 0.126 0.124 Fe
0.626 0.376 0.375 Fe
0.624 0.875 0.874 Fe
0.749 0.751 0.249 Fe
0.875 0.874 0.624 Fe
0.376 0.375 0.626 Fe
0.375 0.626 0.376 Fe
0.124 0.625 0.126 Fe
0.130 0.604 0.352 O
0.354 0.620 0.602 O
0.620 0.602 0.354 O
0.630 0.896 0.648 O
0.648 0.630 0.896 O
0.364 0.636 0.136 O
0.602 0.354 0.620 O
0.604 0.352 0.130 O
0.398 0.854 0.880 O
0.146 0.380 0.102 O
0.104 0.148 0.870 O
0.370 0.396 0.852 O
0.646 0.120 0.898 O
0.880 0.398 0.854 O
0.148 0.870 0.104 O
0.898 0.646 0.120 O
0.102 0.146 0.380 O
0.386 0.386 0.386 O
0.614 0.886 0.114 O
0.870 0.104 0.148 O
0.120 0.898 0.646 O
0.352 0.130 0.604 O
0.896 0.648 0.630 O
0.396 0.852 0.370 O
0.136 0.364 0.636 O
0.864 0.864 0.864 O
0.636 0.136 0.364 O
0.886 0.114 0.614 O
0.854 0.880 0.398 O
0.380 0.102 0.146 O
0.114 0.614 0.886 O
0.852 0.370 0.396 O
0.125 0.875 0.375 Na
0.375 0.125 0.875 Na
0.875 0.375 0.125 Na
0.625 0.625 0.625 Na
```

- Offset from the most stable computed form: 0.0 kJ per mole of atoms
- Space group: P4_332 (212)


8.
First-principles (PBE+U) data for a geometry-optimized Na2FeO3 structure, as listed in Alexandria.

The structure in POSCAR format:
```
Na2FeO3
1.0
-3.286 -1.888 3.716
0.505 -4.995 1.722
4.677 0.591 3.140
Fe O Na
2 6 4
Direct
0.334 0.334 0.000 Fe
0.666 0.666 0.000 Fe
0.307 0.693 0.798 O
0.450 0.925 0.198 O
0.550 0.075 0.802 O
0.925 0.450 0.802 O
0.075 0.550 0.198 O
0.693 0.307 0.202 O
0.842 0.842 0.500 Na
0.500 0.500 0.500 Na
0.158 0.158 0.500 Na
0.000 0.000 0.000 Na
```

- Offset from the most stable computed form: 10.0 kJ per mole of atoms
- Space group: C2/m (12)


9.
First-principles (PBE+U) data for a geometry-optimized Na2FeO3 structure, as listed in Alexandria.

The structure in POSCAR format:
```
Na2FeO3
1.0
-4.385 3.069 0.394
-6.345 -7.993 4.188
-0.603 3.294 4.194
O Na Fe
12 8 4
Direct
0.940 0.647 0.260 O
0.507 0.852 0.333 O
0.505 0.149 0.679 O
0.749 0.148 0.040 O
0.575 0.650 0.869 O
0.435 0.351 0.109 O
0.260 0.853 0.940 O
0.869 0.850 0.575 O
0.679 0.351 0.505 O
0.333 0.648 0.507 O
0.040 0.352 0.749 O
0.109 0.149 0.435 O
0.318 0.500 0.841 Na
0.841 0.000 0.318 Na
0.914 0.750 0.914 Na
0.504 0.000 0.992 Na
0.684 0.500 0.158 Na
0.158 0.000 0.684 Na
0.992 0.500 0.504 Na
0.086 0.250 0.086 Na
0.419 0.250 0.419 Fe
0.580 0.750 0.580 Fe
0.752 0.250 0.752 Fe
0.248 0.750 0.248 Fe
```

- Offset from the most stable computed form: 0.0 kJ per mole of atoms
- Density of states at the Fermi level: 6.11 states/eV/cell
- Space group: C2 (5)


10.
First-principles (PBE+U) data for a geometry-optimized Na2FeO3 structure, as listed in Alexandria.

The structure in POSCAR format:
```
Na2FeO3
1.0
4.039 0.484 4.252
-5.567 0.810 1.728
-0.527 -6.187 1.204
Na O Fe
4 6 2
Direct
0.248 0.752 0.500 Na
0.248 0.752 0.000 Na
0.752 0.248 0.500 Na
0.752 0.248 0.000 Na
0.597 0.929 0.750 O
0.071 0.403 0.250 O
0.403 0.071 0.250 O
0.929 0.597 0.750 O
0.500 0.500 0.000 O
0.500 0.500 0.500 O
0.345 0.345 0.250 Fe
0.655 0.655 0.750 Fe
```

- Offset from the most stable computed form: 6.8 kJ per mole of atoms
- Density of states at the Fermi level: 2.14 states/eV/cell
- Space group: Cmcm (63)


11.
First-principles (PBE+U) data for a geometry-optimized Na2FeOsO6 structure, as listed in Alexandria.

The structure in POSCAR format:
```
Na2FeOsO6
1.0
-3.481 -3.784 -1.783
3.936 -3.797 0.374
-1.285 3.048 4.302
Na O Fe Os
2 6 1 1
Direct
0.761 0.751 0.501 Na
0.239 0.249 0.499 Na
0.799 0.784 0.081 O
0.201 0.216 0.919 O
0.799 0.297 0.081 O
0.319 0.741 0.483 O
0.201 0.703 0.919 O
0.681 0.259 0.517 O
0.500 0.000 0.000 Fe
0.000 0.500 0.000 Os
```

- Density of states at the Fermi level: 1.54 states/eV/cell
- Space group: C2/m (12)


12.
First-principles (PBE+U) data for a geometry-optimized NaFeOs2O8 structure, as listed in Alexandria.

The structure in POSCAR format:
```
NaFeOs2O8
1.0
5.229 0.000 0.000
2.614 4.528 0.000
2.614 1.509 8.163
O Os Na Fe
8 2 1 1
Direct
0.468 0.115 0.668 O
0.749 0.468 0.668 O
0.251 0.885 0.332 O
0.532 0.251 0.332 O
0.681 0.681 0.957 O
0.319 0.319 0.043 O
0.885 0.532 0.332 O
0.115 0.749 0.668 O
0.246 0.246 0.261 Os
0.754 0.754 0.739 Os
0.000 0.000 0.000 Na
0.500 0.500 0.500 Fe
```

- Density of states at the Fermi level: 8.37 states/eV/cell
- Space group: R32 (155)


In μB/cell, the total magnetization values for the records above are, in order, 8.0; 16.0; 40.0; 49.0; 13.0; 9.6; 76.0; 4.1; 16.0; 8.0; 4.0; 7.0.
In eV per atom, the final energy values for the records above are, in order, -4.24; -5.16; -4.62; -6.11; -6.14; -4.36; -6.22; -5.14; -5.24; -5.17; -6.28; -6.73.